A plane-wave DFT calculation with GGA-PBE was carried out for LaCl2 after structural relaxation.

Computed properties:
Its formation energy from raw total energies is -2.064 eV per atom. The calculation puts the total magnetization at 0.00 μB per formula unit.

Lattice parameters (Å, degrees): 6.8603 6.8603 6.9290 90.07 90.07 30.98
With the nearest neighbours (Å) after each atom.
Sites, in units of the cell vectors:
1 La 0.0000 0.0000 0.0000  7 Cl 2.91-3.00
2 La 0.2349 0.2349 0.5006  7 Cl 2.92-3.00
3 Cl 0.3410 0.3410 0.1314  3 La 2.92-2.93
4 Cl 0.5986 0.5986 0.2863  4 La 2.97-3.00
5 Cl 0.6364 0.6364 0.7876  4 La 2.96-3.00
6 Cl 0.8947 0.8947 0.6306  3 La 2.91-2.94